Record 1
A plane-wave DFT calculation with PBE was carried out for a relaxed MoC crystal.

* DOS(E_F): 0.5361 states/eV per atom
* offset from the most stable computed form: 1.00 eV/f.u.
* uncorrected energy: -19.246 eV per formula unit
* size of the total moment: 0.000 μB per atom
* ΔH_f (0 K): 405 meV per atom

```
4
Lattice="5.2651 -0.0001 -0.0001 4.0992 3.3042 -0.0001 4.0992 1.4463 2.9708" Properties=species:S:1:pos:R:3 pbc="T T T"
Mo 3.1889 1.1252 0.7036
Mo 10.2746 3.6253 2.2670
C 12.2417 4.3193 2.7011
C 1.2218 0.4311 0.2696
```

***

Record 2
A plane-wave DFT calculation with PBE was carried out for a relaxed LiMgCr2 crystal.

* DOS(E_F): 1.2675 states/eV per atom
* uncorrected energy: -20.170 eV per formula unit
* size of the total moment: 0.000 μB per atom
* ΔH_f (0 K): 646 meV per atom

```
4
Lattice="-1.2072 1.1281 -1.8305 -2.1337 -0.3687 1.1799 0.9812 7.9699 4.2646" Properties=species:S:1:pos:R:3 pbc="T T T"
Cr 0.9804 7.9634 4.2612
Cr 0.4914 3.9915 2.1358
Mg -0.9345 6.3571 2.8732
Li -1.4251 2.3722 0.7409
```

***

Record 3
A plane-wave DFT calculation with PBE was carried out for a relaxed TaTl2Cd crystal.

* DOS(E_F): 0.6484 states/eV per atom
* offset from the most stable computed form: 0.98 eV/f.u.
* uncorrected energy: -14.961 eV per formula unit
* size of the total moment: 0.000 μB per atom
* ΔH_f (0 K): 635 meV per atom

```
4
Lattice="-2.1432 2.4628 4.6428 2.0204 -1.9699 4.9246 2.2819 1.8342 -4.8624" Properties=species:S:1:pos:R:3 pbc="T T T"
Ta 0.0387 2.2717 2.2821
Tl 0.0000 0.0000 0.0000
Tl -0.0614 0.2464 4.7837
Cd 2.1204 0.0554 2.4229
```

***

Record 4
A plane-wave DFT calculation with PBE was carried out for a relaxed La8ZnS3Br4 crystal.

* DOS(E_F): 0.6860 states/eV per atom
* uncorrected energy: -83.950 eV per formula unit
* E_form (uncorrected): -2333 kJ/mol of formula units
* size of the total moment: 0.000 μB per atom

```
16
Lattice="-7.3166 -3.6138 -2.0159 -1.2585 -2.1946 8.5018 1.3510 8.0831 -1.8687" Properties=species:S:1:pos:R:3 pbc="T T T"
La -5.2032 0.7871 -0.0511
La -5.8570 -3.1241 0.8527
La -4.9078 3.6501 2.7889
La -2.3163 -1.3753 1.8283
La -1.5919 2.6775 0.9781
La -2.0210 1.4876 4.6683
La -5.6322 -0.4028 3.6390
La -1.3672 5.3988 3.7644
S 0.0462 2.9443 3.3165
S -4.2875 -2.9042 3.2429
S -3.6121 1.1374 2.3086
Br 0.0000 0.0000 0.0000
Br 0.6755 4.0416 -0.9344
Br -2.9828 2.2346 -1.9423
Br -3.6583 -1.8069 -1.0080
Zn -0.6293 -1.0973 4.2509
```

***

> The highest uncorrected energy belongs to which entry?

TaTl2Cd

***

Please write out number 1 again, unchanged.
A plane-wave DFT calculation with PBE was carried out for a relaxed MoC crystal.

* DOS(E_F): 0.5361 states/eV per atom
* offset from the most stable computed form: 1.00 eV/f.u.
* uncorrected energy: -19.246 eV per formula unit
* size of the total moment: 0.000 μB per atom
* ΔH_f (0 K): 405 meV per atom

```
4
Lattice="5.2651 -0.0001 -0.0001 4.0992 3.3042 -0.0001 4.0992 1.4463 2.9708" Properties=species:S:1:pos:R:3 pbc="T T T"
Mo 3.1889 1.1252 0.7036
Mo 10.2746 3.6253 2.2670
C 12.2417 4.3193 2.7011
C 1.2218 0.4311 0.2696
```

***

> Which value of size of the total moment does entry 4 give?

0.000 μB per atom